Record 1
Entry from Alexandria: an optimized crystal structure of VCr2Si2 (PBE).

Results
Magnetization (μB per formula unit): 1.02
Fermi-level density of states (states/eV/cell): 11.47
Energy (eV per cell): -80.8
Energy relative to the elements, uncorrected (kJ/mol of formula units): -113

Cell: 6.4107 6.4107 3.0305 Å, 90.00 90.00 90.00°
Fractional coordinates of all 10 atoms:
1 V 0.5000 0.5000 0.0000
2 V 0.0000 0.0000 0.0000
3 Si 0.6346 0.1346 0.0000
4 Si 0.3654 0.8654 0.0000
5 Si 0.1346 0.3654 0.0000
6 Si 0.8654 0.6346 0.0000
7 Cr 0.6615 0.8385 0.5000
8 Cr 0.1615 0.6615 0.5000
9 Cr 0.8385 0.3385 0.5000
10 Cr 0.3385 0.1615 0.5000



Record 2
Entry from Alexandria: an optimized crystal structure of Cd2SeBr2 (PBE).

Results
Polymorph energy (0 for the lowest one) (meV/atom): 0.0
Magnetization (μB per formula unit): 0.00
Energy (eV per cell): -23.2
Energy relative to the elements, uncorrected (kJ/mol of formula units): -284

Cell: 6.3555 8.3426 8.2580 Å, 123.10 90.00 112.39°
Fractional coordinates of all 10 atoms:
1 Br 0.0089 0.0179 0.7405
2 Br 0.9911 0.9821 0.2595
3 Br 0.6475 0.2949 0.6511
4 Br 0.3525 0.7051 0.3489
5 Cd 0.4954 0.9908 0.2349
6 Cd 0.5046 0.0092 0.7651
7 Cd 0.8432 0.6863 0.3397
8 Cd 0.1568 0.3137 0.6603
9 Se 0.3573 0.7146 0.8439
10 Se 0.6427 0.2854 0.1561



Record 3
Entry from Alexandria: an optimized crystal structure of Ti6MnNi (PBE).

Results
Polymorph energy (0 for the lowest one) (meV/atom): 0.0
Magnetization (μB per formula unit): 0.00
Fermi-level density of states (states/eV/cell): 11.90
Energy (eV per cell): -63.4

Cell: 4.2404 4.2404 7.4132 Å, 73.38 73.38 90.00°
Fractional coordinates of all 8 atoms:
1 Mn 0.0000 0.0000 0.0000
2 Ti 0.3901 0.8901 0.2198
3 Ti 0.8901 0.3901 0.2198
4 Ti 0.1099 0.6099 0.7802
5 Ti 0.2470 0.2469 0.5061
6 Ti 0.7530 0.7531 0.4939
7 Ti 0.6099 0.1099 0.7802
8 Ni 0.5000 0.5000 0.0000



Record 4
Entry from Alexandria: an optimized crystal structure of SrReNi2Pb (PBE).

Results
Magnetization (μB per formula unit): 3.31
Fermi-level density of states (states/eV/cell): 3.67
Energy (eV per cell): -17.9

Cell: 4.6525 5.9238 4.6525 Å, 90.00 90.00 90.00°
Fractional coordinates of all 5 atoms:
1 Re 0.5000 0.5000 0.5000
2 Pb 0.0000 0.5000 0.0000
3 Ni 0.0000 0.0000 0.5000
4 Ni 0.5000 0.0000 0.0000
5 Sr 0.0000 0.0000 0.0000



Question: Which of these has the lowest energy?
Answer: VCr2Si2



Copy entry 3 word for word.
Entry from Alexandria: an optimized crystal structure of Ti6MnNi (PBE).

Results
Polymorph energy (0 for the lowest one) (meV/atom): 0.0
Magnetization (μB per formula unit): 0.00
Fermi-level density of states (states/eV/cell): 11.90
Energy (eV per cell): -63.4

Cell: 4.2404 4.2404 7.4132 Å, 73.38 73.38 90.00°
Fractional coordinates of all 8 atoms:
1 Mn 0.0000 0.0000 0.0000
2 Ti 0.3901 0.8901 0.2198
3 Ti 0.8901 0.3901 0.2198
4 Ti 0.1099 0.6099 0.7802
5 Ti 0.2470 0.2469 0.5061
6 Ti 0.7530 0.7531 0.4939
7 Ti 0.6099 0.1099 0.7802
8 Ni 0.5000 0.5000 0.0000



Question: Look up the magnetization of the third one.
Answer: 0.00 μB per formula unit